(w)
Computed, not measured: a relaxed structure of ZrCr2Cu at the GGA-PBEsol level of DFT.

Computed properties:
The calculation puts the mass density at 7.90 g/cm3. The density of states at the Fermi level comes out at 1.11 states/eV/atom.

Cell lengths 2.5471, 4.3569, 4.9465 Å; angles 90.00, 97.81, 90.00 degrees
Space group P2/m (No. 10)
One atom of each set of equivalent atoms:
Zr (0.0000, 0.0000, 0.0000) x1
Cr (0.2317, 0.5000, 0.7318) x2
Cu (0.5000, 0.0000, 0.5000) x1



(x)
Computed, not measured: a relaxed structure of ZrCr2Cu at the GGA-PBEsol level of DFT.

Computed properties:
The calculation puts the mass density at 7.74 g/cm3. The density of states at the Fermi level comes out at 1.13 states/eV/atom.

Cell lengths 2.6585, 3.8375, 5.5401 Å; angles 90.00, 100.99, 90.00 degrees
Space group Pm (No. 6)
One atom of each set of equivalent atoms:
Zr (0.0000, 0.0000, 0.0000) x1
Cr (0.5466, 0.5000, 0.2958) x1
Cr (0.8707, 0.0000, 0.4732) x1
Cu (0.3987, 0.5000, 0.7183) x1



How far above the most stable structure does each one sit? In kJ/mol of atoms: (w) 17.9; (x) 0.0.



(w)
Computed, not measured: a relaxed structure of ZrCrCu2 at the GGA-PBEsol level of DFT.

Computed properties:
The calculation puts the mass density at 8.19 g/cm3. The density of states at the Fermi level comes out at 0.95 states/eV/atom.

Cell lengths 2.7186, 2.7186, 7.4178 Å; angles 90.00, 90.00, 90.00 degrees
Space group P4/mmm (No. 123)
One atom of each set of equivalent atoms:
Zr (0.0000, 0.0000, 0.0000) x1
Cr (0.0000, 0.0000, 0.5000) x1
Cu (0.5000, 0.5000, 0.2808) x2



(x)
Computed, not measured: a relaxed structure of ZrCrCu2 at the GGA-PBEsol level of DFT.

Computed properties:
The calculation puts the mass density at 7.81 g/cm3. The density of states at the Fermi level comes out at 0.92 states/eV/atom.

Cell lengths 3.8150, 3.8150, 7.9027 Å; angles 90.00, 90.00, 90.00 degrees
Space group I-4m2 (No. 119)
One atom of each set of equivalent atoms:
Zr (0.0000, 0.0000, 0.0000) x2
Cr (0.0000, 0.5000, 0.2500) x2
Cu (0.0000, 0.0000, 0.5000) x2
Cu (0.0000, 0.5000, 0.7500) x2



(y)
Computed, not measured: a relaxed structure of ZrCrCu2 at the GGA-PBEsol level of DFT.

Computed properties:
The calculation puts the mass density at 7.54 g/cm3. The density of states at the Fermi level comes out at 1.15 states/eV/atom.

Cell lengths 6.1981, 6.1981, 6.1981 Å; angles 90.00, 90.00, 90.00 degrees
Space group Fm-3m (No. 225)
One atom of each set of equivalent atoms:
Zr (0.0000, 0.0000, 0.0000) x4
Cr (0.0000, 0.0000, 0.5000) x4
Cu (0.2500, 0.2500, 0.2500) x8



How far above the most stable structure does each one sit? In kJ/mol of atoms: (w) 10.3; (x) 2.0; (y) 0.0.